Material: FeRh2F
Method: DFT, GGA+U
State: optimized geometry

Unit cell a=6.009 b=6.009 c=6.009 alpha=90.00 beta=90.00 gamma=90.00
Space group Fm-3m (No. 225)
Asymmetric unit:
Fe  0.000  0.000  0.000 x4
Rh  0.250  0.250  0.250 x8
F  0.000  0.000  0.500 x4

Summary:
energy above the lowest structure with this stoichiometry	0	meV/atom
mass density	8.6	g/cm3